# 1
DFT (PBE-GGA) results for Pr4GaPd after structural relaxation.

POSCAR file:
```
Pr4GaPd
1.0
5.4139 0.0000 0.0000
0.0000 6.4687 0.0000
-2.7069 0.0000 10.8464
Pd Pr Ga
2 8 2
direct
0.4245 0.3405 0.8489
0.5755 0.8405 0.1511
0.2859 0.0549 0.5719
0.5563 0.3469 0.1126
0.7141 0.5549 0.4281
0.8884 0.2962 0.7768
0.3075 0.5742 0.6150
0.6925 0.0742 0.3850
0.1116 0.7962 0.2232
0.4437 0.8469 0.8874
0.1580 0.3208 0.3159
0.8420 0.8208 0.6841
```

## Properties
The energy relative to the elements is -0.282 eV per atom.


# 2
DFT (PBE-GGA) results for PrGaPd after structural relaxation.

POSCAR file:
```
PrGaPd
1.0
3.4750 0.0000 0.0000
0.0000 3.4750 0.0000
-1.7375 -1.7375 5.3155
Pd Pr Ga
1 1 1
direct
0.2990 0.2990 0.5979
0.0016 0.0016 0.0033
0.6994 0.6994 0.3988
```

## Properties
The energy relative to the elements is -0.609 eV per atom.


# 3
DFT (PBE-GGA) results for Pr3GaPd4 after structural relaxation.

POSCAR file:
```
Pr3GaPd4
1.0
4.1847 0.0000 0.0000
0.0000 6.5267 0.0000
-2.0923 -3.2634 7.2213
Pr Pd Ga
3 4 1
direct
0.0000 0.5000 0.0000
0.1892 0.1892 0.3784
0.8108 0.8108 0.6216
0.6178 0.4074 0.2356
0.3822 0.5926 0.7644
0.6178 0.8282 0.2356
0.3822 0.1718 0.7644
0.5000 0.0000 0.0000
```

## Properties
The energy relative to the elements is -0.673 eV per atom.


# 4
DFT (PBE-GGA) results for PrGaPd6 after structural relaxation.

POSCAR file:
```
PrGaPd6
1.0
4.0124 0.0000 0.0000
0.0000 4.0124 0.0000
0.0000 0.0000 9.3180
Ga Pd Pr
1 6 1
direct
0.0000 0.0000 0.5000
0.5000 0.0000 0.3359
0.5000 0.5000 0.8607
0.5000 0.5000 0.1393
0.0000 0.5000 0.3359
0.0000 0.5000 0.6641
0.5000 0.0000 0.6641
0.0000 0.0000 0.0000
```

## Properties
The energy relative to the elements is -0.436 eV per atom.


# 5
DFT (PBE-GGA) results for PrGa12Pd6 after structural relaxation.

POSCAR file:
```
PrGa12Pd6
1.0
7.2046 0.0273 0.0384
-1.7595 6.9865 0.0384
-1.7595 -2.2664 6.6088
Pr Ga Pd
1 12 6
direct
0.0000 0.0000 0.0000
0.6030 0.6030 0.8545
0.3970 0.3970 0.1455
0.8545 0.6030 0.6030
0.5000 0.1100 0.8900
0.3970 0.1455 0.3970
0.1100 0.8900 0.5000
0.8900 0.1100 0.5000
0.1455 0.3970 0.3970
0.5000 0.8900 0.1100
0.6030 0.8545 0.6030
0.1100 0.5000 0.8900
0.8900 0.5000 0.1100
0.2819 0.7115 0.7115
0.2885 0.7181 0.2885
0.7115 0.7115 0.2819
0.2885 0.2885 0.7181
0.7181 0.2885 0.2885
0.7115 0.2819 0.7115
```

## Properties
The energy relative to the elements is -0.495 eV per atom.


# 6
DFT (PBE-GGA) results for Pr3Ga2Pd7 after structural relaxation.

POSCAR file:
```
Pr3Ga2Pd7
1.0
4.1139 0.0000 0.0000
0.0000 4.1738 -0.6199
0.0000 0.0817 14.9121
Pd Pr Ga
7 3 2
direct
0.0000 0.3712 0.7425
0.5000 0.1311 0.2622
0.0000 0.7892 0.5784
0.0000 0.0000 0.0000
0.5000 0.8689 0.7378
0.0000 0.2108 0.4216
0.0000 0.6288 0.2575
0.5000 0.2996 0.5991
0.5000 0.5000 0.0000
0.5000 0.7004 0.4009
0.0000 0.9172 0.8344
0.0000 0.0828 0.1656
```

## Properties
The energy relative to the elements is -0.625 eV per atom.